Below is a relaxed Na3Cd4Ag4 crystal, with properties calculated at the PBE level.

## Properties
ΔE_f = -0.039 eV per atom
Total moment = 0.00 μB/f.u.

Unit cell a=4.3018 b=8.3098 c=14.9228 alpha=90.00 beta=90.00 gamma=90.00
Last column: nearest neighbours and their distance in Å.
Space group Immm (No. 71)
Unique sites:
Na 0.0000 0.0000 0.0000 x2  6 Ag 3.38-3.47, 8 Cd 3.74
Na 0.0000 0.5000 0.1208 x4  6 Ag 3.14-3.15, 6 Cd 3.38-3.50
Cd 0.0000 0.3002 0.3275 x8  4 Ag 2.78-2.92
Ag 0.0000 0.0000 0.2263 x4  6 Cd 2.83-2.92, 2 Na 3.14
Ag 0.0000 0.1727 0.5000 x4  2 Cd 2.78, 1 Ag 2.87



Below is a relaxed NaCd9Ag2 crystal, with properties calculated at the PBE level.

## Properties
ΔE_f = -0.036 eV per atom
Total moment = 0.00 μB/f.u.

Unit cell a=9.6815 b=9.6815 c=3.2899 alpha=90.00 beta=90.00 gamma=120.00
Last column: nearest neighbours and their distance in Å.
Space group P6/mmm (No. 191)
Unique sites:
Na 0.0000 0.0000 0.0000 x1  2 Na 3.29, 12 Cd 3.43
Cd 0.0000 0.5000 0.0000 x3  2 Ag 2.79
Cd 0.1794 0.3588 0.5000 x6  8 Cd 3.01-3.29, 2 Ag 3.06
Ag 0.3333 0.6667 0.0000 x2  9 Cd 2.79-3.06



Below is a relaxed Na2Cd6Ag crystal, with properties calculated at the PBE level.

## Properties
ΔE_f = -0.050 eV per atom
Total moment = 0.00 μB/f.u.

Unit cell a=8.7307 b=8.7307 c=3.1529 alpha=90.00 beta=90.00 gamma=120.00
Last column: nearest neighbours and their distance in Å.
Space group P6/mmm (No. 191)
Unique sites:
Na 0.3333 0.6667 0.0000 x2  2 Na 3.15, 12 Cd 3.33
Cd 0.0000 0.3288 0.5000 x6  5 Cd 2.87-3.15
Ag 0.0000 0.0000 0.0000 x1  2 Ag 3.15, 12 Cd 3.27



Below is a relaxed NaCd10Ag3 crystal, with properties calculated at the PBE level.

## Properties
ΔE_f = 0.058 eV per atom
Total moment = 0.00 μB/f.u.

Unit cell a=14.0463 b=14.0463 c=14.0463 alpha=90.00 beta=90.00 gamma=90.00
Last column: nearest neighbours and their distance in Å.
Space group Fm-3m (No. 225)
Unique sites:
Na 0.2500 0.2500 0.2500 x8  4 Cd 3.13
Cd 0.0000 0.1733 0.1733 x48  2 Ag 2.79, 1 Cd 3.05
Cd 0.1215 0.1215 0.3785 x32  3 Ag 2.86, 1 Na 3.13
Ag 0.0000 0.0000 0.2697 x24  8 Cd 2.79-2.86



Below is a relaxed NaCd6Ag5 crystal, with properties calculated at the PBE level.

## Properties
ΔE_f = -0.046 eV per atom
Total moment = 0.00 μB/f.u.

Unit cell a=4.4370 b=8.3612 c=6.8010 alpha=90.00 beta=108.24 gamma=90.00
Last column: nearest neighbours and their distance in Å.
Space group P2/m (No. 10)
Unique sites:
Na 0.0000 0.0000 0.0000 x1  8 Cd 3.05-3.08, 4 Ag 3.10-3.14
Cd 0.1685 0.2554 0.3369 x4  7 Ag 2.96-3.08, 4 Cd 3.04-3.13, 1 Na 3.05
Cd 0.5000 0.2554 0.0000 x2  6 Ag 2.97-3.06, 2 Na 3.08, 4 Cd 3.09-3.13
Ag 0.0000 0.5000 0.0000 x1  8 Cd 2.99-3.02, 4 Ag 3.07-3.11
Ag 0.3304 0.0000 0.6603 x2  8 Cd 2.99-3.08, 2 Ag 3.01-3.06, 2 Na 3.10-3.14
Ag 0.3334 0.5000 0.6675 x2  8 Cd 2.96-3.02, 4 Ag 3.07-3.12



Below is a relaxed Na5Cd4Ag2 crystal, with properties calculated at the PBE level.

## Properties
ΔE_f = -0.004 eV per atom
Total moment = 0.00 μB/f.u.

Unit cell a=5.1111 b=8.7114 c=11.9454 alpha=90.00 beta=90.00 gamma=90.00
Last column: nearest neighbours and their distance in Å.
Space group Immm (No. 71)
Unique sites:
Na 0.0000 0.0000 0.0000 x2  4 Ag 3.02, 4 Na 3.18
Na 0.0000 0.1720 0.2352 x8  4 Na 2.92-3.18, 2 Cd 3.17-3.18, 3 Ag 3.20-3.26
Cd 0.0000 0.2076 0.5000 x4  2 Ag 3.01, 2 Na 3.18
Cd 0.0000 0.5000 0.1205 x4  1 Cd 2.88, 1 Ag 2.93, 2 Na 3.17
Ag 0.0000 0.5000 0.3658 x4  3 Cd 2.93-3.01, 8 Na 3.02-3.26, 1 Ag 3.21



Below is a relaxed Na6Cd2Ag crystal, with properties calculated at the PBE level.

## Properties
ΔE_f = -0.039 eV per atom
Total moment = 0.00 μB/f.u.

Unit cell a=5.4201 b=5.4201 c=31.1824 alpha=90.00 beta=90.00 gamma=120.00
Last column: nearest neighbours and their distance in Å.
Space group R-3m (No. 166, hexagonal axes)
Unique sites:
Na 0.0000 0.0000 0.0784 x6  3 Cd 3.13
Na 0.0000 0.0000 0.1960 x6  3 Ag 3.26, 7 Na 3.49-3.63, 3 Cd 3.65
Na 0.0000 0.0000 0.3081 x6  4 Cd 3.19-3.52, 7 Na 3.49-3.54
Cd 0.0000 0.0000 0.4105 x6  1 Ag 2.79
Ag 0.0000 0.0000 0.5000 x3  2 Cd 2.79



Below is a relaxed NaCd2Ag crystal, with properties calculated at the PBE level.

## Properties
ΔE_f = -0.089 eV per atom
Total moment = 0.00 μB/f.u.

Unit cell a=16.8869 b=7.9605 c=5.7017 alpha=90.00 beta=90.00 gamma=90.00
Last column: nearest neighbours and their distance in Å.
Space group Pnma (No. 62)
Unique sites:
Na 0.1069 0.2500 0.2270 x4  3 Ag 3.06-3.16
Na 0.1423 0.7500 0.4520 x4  3 Ag 3.06-3.28, 2 Cd 3.38
Cd 0.0342 0.0579 0.7268 x8  3 Ag 2.85-2.91, 2 Cd 2.98-3.06
Cd 0.2144 0.5570 0.9348 x8  3 Ag 2.80-2.91, 1 Cd 3.07
Ag 0.0684 0.7500 0.9626 x4  6 Cd 2.85-2.91, 3 Na 3.06-3.17
Ag 0.1802 0.2500 0.7171 x4  6 Cd 2.80-2.90, 1 Na 3.06



ΔE_f of number 1 (Na3Cd4Ag4)?
-0.039 eV per atom



Please write out number 5 again, unchanged.
Below is a relaxed NaCd6Ag5 crystal, with properties calculated at the PBE level.

## Properties
ΔE_f = -0.046 eV per atom
Total moment = 0.00 μB/f.u.

Unit cell a=4.4370 b=8.3612 c=6.8010 alpha=90.00 beta=108.24 gamma=90.00
Last column: nearest neighbours and their distance in Å.
Space group P2/m (No. 10)
Unique sites:
Na 0.0000 0.0000 0.0000 x1  8 Cd 3.05-3.08, 4 Ag 3.10-3.14
Cd 0.1685 0.2554 0.3369 x4  7 Ag 2.96-3.08, 4 Cd 3.04-3.13, 1 Na 3.05
Cd 0.5000 0.2554 0.0000 x2  6 Ag 2.97-3.06, 2 Na 3.08, 4 Cd 3.09-3.13
Ag 0.0000 0.5000 0.0000 x1  8 Cd 2.99-3.02, 4 Ag 3.07-3.11
Ag 0.3304 0.0000 0.6603 x2  8 Cd 2.99-3.08, 2 Ag 3.01-3.06, 2 Na 3.10-3.14
Ag 0.3334 0.5000 0.6675 x2  8 Cd 2.96-3.02, 4 Ag 3.07-3.12